No. 1
This record from Alexandria describes La2CdC after structural relaxation. The functional is PBE-GGA.

The structure in extended XYZ format:
```
4
Lattice="3.727 0.000 0.000 1.863 3.228 0.000 1.863 1.076 8.912" Properties=species:S:1:pos:R:3 pbc="T T T"
C 0.000 0.000 0.000
Cd 3.727 2.152 4.456
La 1.863 1.076 1.475
La 5.590 3.228 7.437
```

Output
DFT total energy = -20.55 eV per formula unit
ΔE_f = -53 kJ/mol of formula units
V = 107.2 Å³ per cell
space-group type = R-3m
magnetic moment = 0.000 Bohr magnetons per cell



No. 2
This record from Alexandria describes La2CdC after structural relaxation. The functional is PBE-GGA.

The structure in extended XYZ format:
```
8
Lattice="7.438 0.000 0.000 0.000 7.438 0.000 3.719 3.719 4.213" Properties=species:S:1:pos:R:3 pbc="T T T"
C 3.719 3.719 0.000
C 3.719 7.438 2.107
Cd 0.000 0.000 0.000
Cd 7.438 3.719 2.107
La 4.900 1.860 1.053
La 2.538 5.579 1.053
La 5.579 6.257 3.160
La 9.298 8.619 3.160
```

Output
DFT total energy = -20.05 eV per formula unit
ΔE_f = -5 kJ/mol of formula units
V = 233.1 Å³ per cell
space-group type = I-42d
magnetic moment = 0.000 Bohr magnetons per cell



No. 3
This record from Alexandria describes La2CdC after structural relaxation. The functional is PBE-GGA.

The structure in extended XYZ format:
```
4
Lattice="-1.266 3.249 -1.293 -1.651 0.160 -3.328 -8.819 -0.402 2.278" Properties=species:S:1:pos:R:3 pbc="T T T"
La -7.528 -0.149 1.650
La -2.293 0.877 -0.898
Cd -5.834 1.510 -1.188
C -1.948 2.272 -3.079
```

Output
DFT total energy = -20.63 eV per formula unit
ΔE_f = -61 kJ/mol of formula units
V = 106.1 Å³ per cell
space-group type = R3m
magnetic moment = 0.000 Bohr magnetons per cell



No. 4
This record from Alexandria describes La2CdC after structural relaxation. The functional is PBE-GGA.

The structure in extended XYZ format:
```
8
Lattice="5.010 0.000 1.924 1.794 6.285 2.813 0.145 -0.326 7.107" Properties=species:S:1:pos:R:3 pbc="T T T"
La 3.767 5.103 5.160
La 3.262 1.177 6.475
La 5.466 3.536 8.221
La 2.305 4.810 8.968
Cd 4.507 1.289 3.233
Cd 1.578 2.113 3.377
C 3.069 3.655 6.978
C 4.812 5.133 9.923
```

Output
DFT total energy = -20.15 eV per formula unit
ΔE_f = -15 kJ/mol of formula units
V = 225.5 Å³ per cell
space-group type = Ima2
magnetic moment = 0.000 Bohr magnetons per cell



No. 5
This record from Alexandria describes LaCd3C after structural relaxation. The functional is PBE-GGA.

The structure in extended XYZ format:
```
5
Lattice="4.852 0.000 0.000 0.000 4.852 0.000 0.000 0.000 4.852" Properties=species:S:1:pos:R:3 pbc="T T T"
C 0.000 0.000 0.000
Cd 0.000 2.426 0.000
Cd 0.000 0.000 2.426
Cd 2.426 0.000 0.000
La 2.426 2.426 2.426
```

Output
DFT total energy = -13.76 eV per formula unit
ΔE_f = 303 kJ/mol of formula units
V = 114.2 Å³ per cell
space-group type = Pm-3m
magnetic moment = 0.000 Bohr magnetons per cell



No. 6
This record from Alexandria describes La6Cd2C after structural relaxation. The functional is PBE-GGA.

The structure in extended XYZ format:
```
18
Lattice="7.324 0.000 -0.197 0.000 7.343 0.000 0.269 0.000 10.356" Properties=species:S:1:pos:R:3 pbc="T T T"
La 7.085 0.001 2.487
La 5.685 5.564 5.236
La 5.699 5.456 10.002
La 5.692 1.785 5.236
La 5.705 1.893 10.002
La 4.036 3.672 2.396
La 0.509 7.342 7.672
La 1.908 1.779 4.923
La 1.895 1.886 0.157
La 1.902 5.558 4.923
La 1.889 5.450 0.157
La 3.557 3.671 7.763
Cd 7.504 3.672 7.566
Cd 3.886 0.001 7.673
Cd 3.707 7.342 2.486
Cd 0.090 3.671 2.593
C 3.662 3.671 -0.098
C 0.135 0.000 5.178
```

Output
DFT total energy = -42.27 eV per formula unit
ΔE_f = -159 kJ/mol of formula units
V = 557.3 Å³ per cell
space-group type = C2/m
magnetic moment = 2.457 Bohr magnetons per cell



No. 7
This record from Alexandria describes La2MnCdC after structural relaxation. The functional is PBE-GGA.

The structure in extended XYZ format:
```
5
Lattice="5.460 0.000 0.000 0.000 5.460 0.000 0.000 0.000 3.843" Properties=species:S:1:pos:R:3 pbc="T T T"
C 0.000 0.000 0.000
Cd 2.730 2.730 1.922
Mn 0.000 0.000 1.922
La 0.000 2.730 0.000
La 2.730 0.000 0.000
```

Output
DFT total energy = -29.95 eV per formula unit
ΔE_f = -76 kJ/mol of formula units
V = 114.6 Å³ per cell
space-group type = P4/mmm
magnetic moment = 1.779 Bohr magnetons per cell



No. 8
This record from Alexandria describes LaMnCdC after structural relaxation. The functional is PBE-GGA.

The structure in extended XYZ format:
```
8
Lattice="3.740 0.000 0.000 0.000 3.740 0.000 0.000 0.000 10.921" Properties=species:S:1:pos:R:3 pbc="T T T"
La 2.805 2.805 2.303
La 0.935 0.935 8.618
Mn 2.805 0.935 0.000
Mn 0.935 2.805 0.000
Cd 0.935 2.805 5.461
Cd 2.805 0.935 5.461
C 2.805 2.805 10.167
C 0.935 0.935 0.754
```

Output
DFT total energy = -24.33 eV per formula unit
ΔE_f = -9 kJ/mol of formula units
V = 152.8 Å³ per cell
space-group type = P4/nmm
magnetic moment = 1.953 Bohr magnetons per cell



Please write out number 6 again, unchanged.
This record from Alexandria describes La6Cd2C after structural relaxation. The functional is PBE-GGA.

The structure in extended XYZ format:
```
18
Lattice="7.324 0.000 -0.197 0.000 7.343 0.000 0.269 0.000 10.356" Properties=species:S:1:pos:R:3 pbc="T T T"
La 7.085 0.001 2.487
La 5.685 5.564 5.236
La 5.699 5.456 10.002
La 5.692 1.785 5.236
La 5.705 1.893 10.002
La 4.036 3.672 2.396
La 0.509 7.342 7.672
La 1.908 1.779 4.923
La 1.895 1.886 0.157
La 1.902 5.558 4.923
La 1.889 5.450 0.157
La 3.557 3.671 7.763
Cd 7.504 3.672 7.566
Cd 3.886 0.001 7.673
Cd 3.707 7.342 2.486
Cd 0.090 3.671 2.593
C 3.662 3.671 -0.098
C 0.135 0.000 5.178
```

Output
DFT total energy = -42.27 eV per formula unit
ΔE_f = -159 kJ/mol of formula units
V = 557.3 Å³ per cell
space-group type = C2/m
magnetic moment = 2.457 Bohr magnetons per cell



The lowest DFT total energy belongs to which entry?
La6Cd2C



What is the formula in the fourth record?
La2CdC